(1)
! Y2MgS4, optimized geometry, DFT PBE-GGA; values from VASP
! - Total moment: 0.00 μB per cell
! - Formation energy without anion corrections: -1.66 eV/atom
&SYSTEM
  ibrav = 0, nat = 28, ntyp = 3
/
ATOMIC_SPECIES
Y 88.91 Y.upf
Mg 24.30 Mg.upf
S 32.06 S.upf
CELL_PARAMETERS angstrom
7.9392 0.0000 0.0000
0.0000 7.2807 0.0000
0.0000 0.0000 11.4948
ATOMIC_POSITIONS angstrom
Y 0.3510 1.8202 2.1817
Y 0.5675 5.4605 5.5058
Y 3.4021 1.8202 11.2532
Y 3.6186 5.4605 7.9291
Y 4.3206 1.8202 3.5657
Y 4.5371 5.4605 0.2416
Y 7.3717 1.8202 5.9890
Y 7.5882 5.4605 9.3130
Mg 1.4387 5.4605 1.0557
Mg 2.5309 1.8202 6.8031
Mg 5.4083 5.4605 4.6917
Mg 6.5006 1.8202 10.4391
S 0.8318 1.8202 10.9739
S 1.0285 0.0026 7.5461
S 1.0285 3.6378 7.5461
S 1.7718 1.8202 4.4812
S 2.1978 5.4605 10.2286
S 2.9412 7.2781 1.7987
S 2.9412 3.6429 1.7987
S 3.1378 5.4605 5.2265
S 4.8015 1.8202 6.2683
S 4.9981 0.0026 9.6961
S 4.9981 3.6378 9.6961
S 5.7415 1.8202 1.2662
S 6.1674 5.4605 7.0136
S 6.9108 7.2781 3.9487
S 6.9108 3.6429 3.9487
S 7.1074 5.4605 0.5209


(2)
! CdIn2GaHg8, optimized geometry, DFT PBE-GGA; values from VASP
! - Total moment: 0.00 μB per cell
! - Formation energy from the elements: 62 meV/atom
&SYSTEM
  ibrav = 0, nat = 12, ntyp = 4
/
ATOMIC_SPECIES
Cd 112.41 Cd.upf
In 114.82 In.upf
Ga 69.72 Ga.upf
Hg 200.59 Hg.upf
CELL_PARAMETERS angstrom
6.5837 0.0000 0.0000
-3.2918 5.7016 0.0000
0.0000 0.0000 8.5943
ATOMIC_POSITIONS angstrom
Cd 0.0000 0.0000 0.0000
In 0.0000 3.8011 3.6063
In 3.2918 1.9005 4.9880
Ga 0.0000 0.0000 4.2971
Hg 0.0000 1.9976 6.3727
Hg -1.5618 4.7028 6.3727
Hg 0.0000 3.8011 0.5097
Hg 1.7300 0.9988 2.2215
Hg 1.5618 4.7028 6.3727
Hg 3.2918 1.9005 8.0846
Hg 4.8537 0.9988 2.2215
Hg 3.2918 3.7040 2.2215


(3)
! La6Tl5Os, optimized geometry, DFT PBE-GGA; values from VASP
! - Total moment: 0.00 μB per cell
! - Formation energy from the elements: -346 meV/atom
&SYSTEM
  ibrav = 0, nat = 12, ntyp = 3
/
ATOMIC_SPECIES
La 138.91 La.upf
Tl 204.38 Tl.upf
Os 190.23 Os.upf
CELL_PARAMETERS angstrom
-2.7259 4.0903 8.0616
2.7259 -4.0903 8.0616
2.7259 4.0903 -8.0616
ATOMIC_POSITIONS angstrom
La 2.7259 1.8160 -2.4070
La 0.0000 1.7176 0.0000
La 2.7259 1.8160 2.4070
La 0.0000 2.2743 5.6546
La 0.0000 6.4629 0.0000
La 0.0000 2.2743 10.4686
Tl 0.0000 0.0000 3.1007
Tl 2.7259 0.0000 5.4730
Tl 0.0000 0.0000 8.0616
Tl 0.0000 4.0903 2.5886
Tl 0.0000 0.0000 13.0226
Os 2.7259 0.0000 0.0000


(4)
! Os2RuRh, optimized geometry, DFT PBE-GGA; values from VASP
! - Total moment: 0.00 μB per cell
! - Formation energy from the elements: 98 meV/atom
&SYSTEM
  ibrav = 0, nat = 4, ntyp = 3
/
ATOMIC_SPECIES
Os 190.23 Os.upf
Ru 101.07 Ru.upf
Rh 102.91 Rh.upf
CELL_PARAMETERS angstrom
2.7182 0.0000 0.0000
0.0000 2.7182 0.0000
0.0000 0.0000 7.6947
ATOMIC_POSITIONS angstrom
Os 0.0000 0.0000 0.0000
Os 1.3591 1.3591 1.9116
Ru 1.3591 1.3591 5.8003
Rh 0.0000 0.0000 3.8435